Entry 1:
## Pu8Si2C (PBE-GGA)

Data for an optimized crystal structure of Pu8Si2C.

Computed properties:
raw formation energy	-106	meV per atom
magnetization	39.37	μB/cell

```
data_Pu8Si2C
_cell_length_a 15.5887
_cell_length_b 4.6943
_cell_length_c 6.1821
_cell_angle_alpha 90.00
_cell_angle_beta 109.60
_cell_angle_gamma 90.00
_symmetry_space_group_name_H-M 'C 1 2/m 1'
_symmetry_Int_Tables_number 12
loop_
_symmetry_equiv_pos_as_xyz
'x,y,z'
'-x,-y,-z'
'-x,y,-z'
'x,-y,z'
'x+1/2,y+1/2,z'
'-x+1/2,-y+1/2,-z'
'-x+1/2,y+1/2,-z'
'x+1/2,-y+1/2,z'
loop_
_atom_site_label
_atom_site_type_symbol
_atom_site_fract_x
_atom_site_fract_y
_atom_site_fract_z
_atom_site_occupancy
Pu1 Pu 0.0342 0.0000 0.2435 1
Pu2 Pu 0.0710 0.5000 0.4440 1
Pu3 Pu 0.1467 0.5000 0.9921 1
Pu4 Pu 0.2011 0.0000 0.2826 1
Si1 Si 0.1564 0.0000 0.7177 1
C1 C 0.0000 0.5000 0.0000 1
```

Entry 2:
## Cd2SiTc (PBE-GGA)

Data for an optimized crystal structure of Cd2SiTc.

Computed properties:
raw formation energy	550	meV per atom
magnetization	0.77	μB/cell

```
data_Cd2SiTc
_cell_length_a 2.8201
_cell_length_b 2.8201
_cell_length_c 9.2942
_cell_angle_alpha 90.00
_cell_angle_beta 90.00
_cell_angle_gamma 90.00
_symmetry_space_group_name_H-M 'P 4/m m m'
_symmetry_Int_Tables_number 123
_symmetry_space_group_name_Hall '-P 4 2'
loop_
_atom_site_label
_atom_site_type_symbol
_atom_site_fract_x
_atom_site_fract_y
_atom_site_fract_z
_atom_site_occupancy
Cd1 Cd 0.0000 0.0000 0.2333 1
Si1 Si 0.5000 0.5000 0.5000 1
Tc1 Tc 0.5000 0.5000 0.0000 1
```

Entry 3:
## ZrRhBr2 (PBE-GGA)

Data for an optimized crystal structure of ZrRhBr2.

Computed properties:
raw formation energy	-43	meV per atom
magnetization	0.00	μB/cell
E above lowest polymorph	653	meV per atom

```
data_ZrRhBr2
_cell_length_a 6.7060
_cell_length_b 6.7060
_cell_length_c 6.7060
_cell_angle_alpha 90.00
_cell_angle_beta 90.00
_cell_angle_gamma 90.00
_symmetry_space_group_name_H-M 'F m -3 m'
_symmetry_Int_Tables_number 225
_symmetry_space_group_name_Hall '-F 4 2 3'
loop_
_atom_site_label
_atom_site_type_symbol
_atom_site_fract_x
_atom_site_fract_y
_atom_site_fract_z
_atom_site_occupancy
Zr1 Zr 0.0000 0.0000 0.0000 1
Rh1 Rh 0.0000 0.0000 0.5000 1
Br1 Br 0.2500 0.2500 0.2500 1
```

Entry 4:
## AlCd2Cu (PBE-GGA)

Data for an optimized crystal structure of AlCd2Cu.

Computed properties:
magnetization	0.00	μB/cell
energy relative to the elements	0.203	eV/atom

```
data_AlCd2Cu
_cell_length_a 6.6475
_cell_length_b 6.6475
_cell_length_c 6.6475
_cell_angle_alpha 90.00
_cell_angle_beta 90.00
_cell_angle_gamma 90.00
_symmetry_space_group_name_H-M 'F -4 3 m'
_symmetry_Int_Tables_number 216
_symmetry_space_group_name_Hall 'F -4 2 3'
loop_
_atom_site_label
_atom_site_type_symbol
_atom_site_fract_x
_atom_site_fract_y
_atom_site_fract_z
_atom_site_occupancy
Al1 Al 0.0000 0.0000 0.0000 1
Cd1 Cd 0.0000 0.0000 0.5000 1
Cd2 Cd 0.2500 0.2500 0.7500 1
Cu1 Cu 0.2500 0.2500 0.2500 1
```

Entry 5:
## KBe3 (PBE-GGA)

Data for an optimized crystal structure of KBe3.

Computed properties:
magnetization	0.00	μB/cell
energy relative to the elements	1.018	eV/atom
E above lowest polymorph	520	meV per atom

```
data_KBe3
_cell_length_a 2.6388
_cell_length_b 2.6388
_cell_length_c 27.6823
_cell_angle_alpha 90.00
_cell_angle_beta 90.00
_cell_angle_gamma 120.00
_symmetry_space_group_name_H-M 'R -3 m'
_symmetry_Int_Tables_number 166
_symmetry_space_group_name_Hall '-R 3 2"'
loop_
_atom_site_label
_atom_site_type_symbol
_atom_site_fract_x
_atom_site_fract_y
_atom_site_fract_z
_atom_site_occupancy
K1 K 0.0000 0.0000 0.0000 1
Be1 Be 0.0000 0.0000 0.2290 1
Be2 Be 0.0000 0.0000 0.5000 1
```

Entry 6:
## V2HOs (PBE-GGA)

Data for an optimized crystal structure of V2HOs.

Computed properties:
magnetization	0.00	μB/cell
E above lowest polymorph	289	meV per atom

```
data_V2HOs
_cell_length_a 5.8219
_cell_length_b 5.8219
_cell_length_c 5.8219
_cell_angle_alpha 90.00
_cell_angle_beta 90.00
_cell_angle_gamma 90.00
_symmetry_space_group_name_H-M 'F m -3 m'
_symmetry_Int_Tables_number 225
_symmetry_space_group_name_Hall '-F 4 2 3'
loop_
_atom_site_label
_atom_site_type_symbol
_atom_site_fract_x
_atom_site_fract_y
_atom_site_fract_z
_atom_site_occupancy
V1 V 0.2500 0.2500 0.2500 1
H1 H 0.0000 0.0000 0.0000 1
Os1 Os 0.0000 0.0000 0.5000 1
```

Entry 7:
## Be3BMo2 (PBE-GGA)

Data for an optimized crystal structure of Be3BMo2.

Computed properties:
magnetization	0.00	μB/cell
energy relative to the elements	-0.318	eV/atom

```
data_Be3BMo2
_cell_length_a 4.3725
_cell_length_b 4.3725
_cell_length_c 10.7573
_cell_angle_alpha 90.00
_cell_angle_beta 90.00
_cell_angle_gamma 120.00
_symmetry_space_group_name_H-M 'R -3 m'
_symmetry_Int_Tables_number 166
_symmetry_space_group_name_Hall '-R 3 2"'
loop_
_atom_site_label
_atom_site_type_symbol
_atom_site_fract_x
_atom_site_fract_y
_atom_site_fract_z
_atom_site_occupancy
Be1 Be 0.0000 0.5000 0.0000 1
B1 B 0.0000 0.0000 0.5000 1
Mo1 Mo 0.0000 0.0000 0.1262 1
```

Entry 8:
## AcPr3Se4 (PBE-GGA)

Data for an optimized crystal structure of AcPr3Se4.

Computed properties:
raw formation energy	-1835	meV per atom
magnetization	0.19	μB/cell
E above lowest polymorph	7	meV per atom

```
data_AcPr3Se4
_cell_length_a 4.2802
_cell_length_b 4.2802
_cell_length_c 28.7581
_cell_angle_alpha 90.00
_cell_angle_beta 90.00
_cell_angle_gamma 120.00
_symmetry_space_group_name_H-M 'P 63/m m c'
_symmetry_Int_Tables_number 194
_symmetry_space_group_name_Hall '-P 6c 2c'
loop_
_atom_site_label
_atom_site_type_symbol
_atom_site_fract_x
_atom_site_fract_y
_atom_site_fract_z
_atom_site_occupancy
Ac1 Ac 0.3333 0.6667 0.2500 1
Pr1 Pr 0.0000 0.0000 0.0000 1
Pr2 Pr 0.3333 0.6667 0.6202 1
Se1 Se 0.0000 0.0000 0.1814 1
Se2 Se 0.3333 0.6667 0.0603 1
```

Entry 9:
## Zr3AgHg4 (PBE-GGA)

Data for an optimized crystal structure of Zr3AgHg4.

Computed properties:
magnetization	0.00	μB/cell
energy relative to the elements	-0.116	eV/atom

```
data_Zr3AgHg4
_cell_length_a 3.1928
_cell_length_b 3.1928
_cell_length_c 16.6069
_cell_angle_alpha 90.00
_cell_angle_beta 90.00
_cell_angle_gamma 90.00
_symmetry_space_group_name_H-M 'P 4/m m m'
_symmetry_Int_Tables_number 123
_symmetry_space_group_name_Hall '-P 4 2'
loop_
_atom_site_label
_atom_site_type_symbol
_atom_site_fract_x
_atom_site_fract_y
_atom_site_fract_z
_atom_site_occupancy
Zr1 Zr 0.0000 0.0000 0.0000 1
Zr2 Zr 0.0000 0.0000 0.2537 1
Ag1 Ag 0.0000 0.0000 0.5000 1
Hg1 Hg 0.5000 0.5000 0.1276 1
Hg2 Hg 0.5000 0.5000 0.3805 1
```

Entry 10:
## SiOsRh2O (PBE-GGA)

Data for an optimized crystal structure of SiOsRh2O.

Computed properties:
raw formation energy	346	meV per atom
magnetization	1.51	μB/cell

```
data_SiOsRh2O
_cell_length_a 4.7666
_cell_length_b 4.7666
_cell_length_c 3.1383
_cell_angle_alpha 90.00
_cell_angle_beta 90.00
_cell_angle_gamma 90.00
_symmetry_space_group_name_H-M 'P 4/m m m'
_symmetry_Int_Tables_number 123
_symmetry_space_group_name_Hall '-P 4 2'
loop_
_atom_site_label
_atom_site_type_symbol
_atom_site_fract_x
_atom_site_fract_y
_atom_site_fract_z
_atom_site_occupancy
Si1 Si 0.0000 0.0000 0.0000 1
Os1 Os 0.5000 0.5000 0.5000 1
Rh1 Rh 0.0000 0.5000 0.0000 1
O1 O 0.0000 0.0000 0.5000 1
```

Entry 11:
## Sm7Y12Sc (PBE-GGA)

Data for an optimized crystal structure of Sm7Y12Sc.

Computed properties:
magnetization	0.00	μB/cell
energy relative to the elements	0.168	eV/atom
E above lowest polymorph	0	meV per atom

```
data_Sm7Y12Sc
_cell_length_a 14.9963
_cell_length_b 14.9963
_cell_length_c 10.1531
_cell_angle_alpha 90.00
_cell_angle_beta 90.00
_cell_angle_gamma 120.00
_symmetry_space_group_name_H-M 'R -3'
_symmetry_Int_Tables_number 148
_symmetry_space_group_name_Hall '-R 3'
loop_
_atom_site_label
_atom_site_type_symbol
_atom_site_fract_x
_atom_site_fract_y
_atom_site_fract_z
_atom_site_occupancy
Sm1 Sm 0.0000 0.0000 0.0000 1
Sm2 Sm 0.0709 0.2428 0.4279 1
Y1 Y 0.0386 0.2514 0.0709 1
Y2 Y 0.0458 0.1940 0.7528 1
Sc1 Sc 0.0000 0.0000 0.5000 1
```

Entry 12:
## MnZn2Hg2 (PBE-GGA)

Data for an optimized crystal structure of MnZn2Hg2.

Computed properties:
magnetization	8.16	μB/cell
energy relative to the elements	0.285	eV/atom
E above lowest polymorph	0	meV per atom

```
data_MnZn2Hg2
_cell_length_a 6.9396
_cell_length_b 6.9396
_cell_length_c 4.0190
_cell_angle_alpha 90.00
_cell_angle_beta 90.00
_cell_angle_gamma 90.00
_symmetry_space_group_name_H-M 'P 4/m b m'
_symmetry_Int_Tables_number 127
_symmetry_space_group_name_Hall '-P 4 2ab'
loop_
_atom_site_label
_atom_site_type_symbol
_atom_site_fract_x
_atom_site_fract_y
_atom_site_fract_z
_atom_site_occupancy
Mn1 Mn 0.0000 0.0000 0.0000 1
Zn1 Zn 0.1306 0.3694 0.0000 1
Hg1 Hg 0.1789 0.6789 0.5000 1
```

How do the records compare in electronic total energy? In the order shown, they have -12.354; -3.855; -4.854; -2.214; -2.051; -7.769; -6.904; -5.884; -3.829; -6.917; -5.678; -2.179 eV per atom.